Compound: BeFeN2F
Source: Alexandria
Functional: PBE+U
Structure: relaxed

Results
Polymorph energy (0 for the lowest one): 0.0 kJ per mole of atoms
Space group: No. 123
Crystal system: tetragonal
Total magnetic moment: 4.70 μB per cell

Unit cell a=3.4391 b=3.4391 c=3.6871 alpha=90.00 beta=90.00 gamma=90.00
With the nearest neighbours (Å) after each atom.
Atoms (fractional coordinates):
Be: 0.0000 0.0000 0.0000  4 N 1.72, 2 F 1.84
Fe: 0.5000 0.5000 0.5000  4 F 2.43, 8 N 2.52
N: 0.0000 0.5000 0.0000  2 Be 1.72
N: 0.5000 0.0000 0.0000  2 Be 1.72
F: 0.0000 0.0000 0.5000  2 Be 1.84